1.
A plane-wave DFT calculation with PBE-GGA was carried out for crystalline La2AsH2 at its relaxed geometry.

## Properties
- Total moment: 0.00 Bohr magnetons per cell
- Crystal system: tetragonal
- Relative energy among the computed polymorphs: 0.0000 eV/atom
- Energy: -25.91 eV/cell

Cell and atoms, written as POSCAR:
```
La2AsH2
1.0
-1.941 1.941 6.303
1.941 -1.941 6.303
1.941 1.941 -6.303
La As H
2 1 2
Direct
0.134 0.134 0.000
0.866 0.866 0.000
0.500 0.500 0.000
0.250 0.750 0.500
0.750 0.250 0.500
```

=====

2.
A plane-wave DFT calculation with PBE-GGA was carried out for crystalline La2AsH2 at its relaxed geometry.

## Properties
- Total moment: 0.00 Bohr magnetons per cell
- Crystal system: tetragonal
- Relative energy among the computed polymorphs: 0.5115 eV/atom
- Energy: -46.71 eV/cell

Cell and atoms, written as POSCAR:
```
La2AsH2
1.0
7.824 0.000 0.000
0.000 7.824 0.000
0.000 0.000 3.328
La As H
4 2 4
Direct
0.159 0.341 0.000
0.341 0.841 0.000
0.659 0.159 0.000
0.841 0.659 0.000
0.000 0.000 0.000
0.500 0.500 0.000
0.107 0.607 0.500
0.393 0.107 0.500
0.607 0.893 0.500
0.893 0.393 0.500
```

=====

3.
A plane-wave DFT calculation with PBE-GGA was carried out for crystalline La2As2H at its relaxed geometry.

## Properties
- Total moment: 0.01 Bohr magnetons per cell
- Crystal system: tetragonal
- Relative energy among the computed polymorphs: 0.6406 eV/atom
- Energy: -24.96 eV/cell

Cell and atoms, written as POSCAR:
```
La2As2H
1.0
-2.830 2.830 4.479
2.830 -2.830 4.479
2.830 2.830 -4.479
La As H
2 2 1
Direct
0.250 0.750 0.500
0.750 0.250 0.500
0.139 0.139 0.000
0.861 0.861 0.000
0.500 0.500 0.000
```

=====

4.
A plane-wave DFT calculation with PBE-GGA was carried out for crystalline La4As2H at its relaxed geometry.

## Properties
- Total moment: 0.00 Bohr magnetons per cell
- Crystal system: tetragonal
- Energy: -38.40 eV/cell

Cell and atoms, written as POSCAR:
```
La4As2H
1.0
-2.256 2.256 8.868
2.256 -2.256 8.868
2.256 2.256 -8.868
La As H
4 2 1
Direct
0.000 0.500 0.500
0.178 0.178 0.000
0.500 0.000 0.500
0.822 0.822 0.000
0.354 0.354 0.000
0.646 0.646 0.000
0.500 0.500 0.000
```

=====

5.
A plane-wave DFT calculation with PBE-GGA was carried out for crystalline La2As2H at its relaxed geometry.

## Properties
- Total moment: 0.00 Bohr magnetons per cell
- Crystal system: orthorhombic
- Relative energy among the computed polymorphs: 0.0000 eV/atom
- Energy: -56.33 eV/cell

Cell and atoms, written as POSCAR:
```
La2As2H
1.0
2.211 -8.924 0.000
2.211 8.924 0.000
0.000 0.000 5.980
La As H
4 4 2
Direct
0.085 0.915 0.500
0.327 0.673 0.476
0.673 0.327 0.976
0.915 0.085 0.000
0.293 0.707 0.980
0.496 0.504 0.732
0.504 0.496 0.232
0.707 0.293 0.480
0.122 0.878 0.883
0.878 0.122 0.383
```

=====

6.
A plane-wave DFT calculation with PBE-GGA was carried out for crystalline La4AsH2 at its relaxed geometry.

## Properties
- Total moment: 0.00 Bohr magnetons per cell
- Crystal system: tetragonal
- Energy: -33.45 eV/cell

Cell and atoms, written as POSCAR:
```
La4AsH2
1.0
-2.832 2.832 6.293
2.832 -2.832 6.293
2.832 2.832 -6.293
La As H
4 1 2
Direct
0.000 0.500 0.500
0.239 0.239 0.000
0.500 0.000 0.500
0.761 0.761 0.000
0.000 0.000 0.000
0.423 0.423 0.000
0.577 0.577 0.000
```

=====

7.
A plane-wave DFT calculation with PBE-GGA was carried out for crystalline La12As3H5 at its relaxed geometry.

## Properties
- Total moment: 0.11 Bohr magnetons per cell
- Crystal system: cubic
- Energy: -403.91 eV/cell

Cell and atoms, written as POSCAR:
```
La12As3H5
1.0
-8.041 8.041 8.041
8.041 -8.041 8.041
8.041 8.041 -8.041
La As H
48 12 20
Direct
0.027 0.218 0.118
0.027 0.310 0.909
0.091 0.618 0.401
0.091 0.973 0.690
0.099 0.718 0.690
0.099 0.882 0.409
0.118 0.027 0.218
0.118 0.591 0.901
0.190 0.218 0.599
0.190 0.473 0.591
0.218 0.118 0.027
0.218 0.599 0.190
0.282 0.310 0.901
0.282 0.473 0.382
0.310 0.901 0.282
0.310 0.909 0.027
0.382 0.282 0.473
0.382 0.599 0.909
0.401 0.091 0.618
0.401 0.810 0.782
0.409 0.099 0.882
0.409 0.810 0.527
0.473 0.382 0.282
0.473 0.591 0.190
0.527 0.409 0.810
0.527 0.618 0.718
0.591 0.190 0.473
0.591 0.901 0.118
0.599 0.190 0.218
0.599 0.909 0.382
0.618 0.401 0.091
0.618 0.718 0.527
0.690 0.091 0.973
0.690 0.099 0.718
0.718 0.527 0.618
0.718 0.690 0.099
0.782 0.401 0.810
0.782 0.882 0.973
0.810 0.527 0.409
0.810 0.782 0.401
0.882 0.409 0.099
0.882 0.973 0.782
0.901 0.118 0.591
0.901 0.282 0.310
0.909 0.027 0.310
0.909 0.382 0.599
0.973 0.690 0.091
0.973 0.782 0.882
0.125 0.250 0.375
0.125 0.375 0.750
0.250 0.375 0.125
0.250 0.875 0.625
0.375 0.125 0.250
0.375 0.750 0.125
0.625 0.250 0.875
0.625 0.875 0.750
0.750 0.125 0.375
0.750 0.625 0.875
0.875 0.625 0.250
0.875 0.750 0.625
0.000 0.000 0.000
0.000 0.000 0.500
0.000 0.500 0.000
0.000 0.500 0.500
0.125 0.750 0.875
0.125 0.875 0.250
0.250 0.125 0.875
0.250 0.625 0.375
0.375 0.250 0.625
0.375 0.625 0.750
0.500 0.000 0.000
0.500 0.000 0.500
0.500 0.500 0.000
0.500 0.500 0.500
0.625 0.375 0.250
0.625 0.750 0.375
0.750 0.375 0.625
0.750 0.875 0.125
0.875 0.125 0.750
0.875 0.250 0.125
```

=====

8.
A plane-wave DFT calculation with PBE-GGA was carried out for crystalline LiLa2AsH at its relaxed geometry.

## Properties
- Total moment: 0.00 Bohr magnetons per cell
- Crystal system: tetragonal
- Energy: -23.20 eV/cell

Cell and atoms, written as POSCAR:
```
LiLa2AsH
1.0
4.969 0.000 0.000
0.000 4.969 0.000
0.000 0.000 4.135
Li La As H
1 2 1 1
Direct
0.000 0.000 0.000
0.000 0.500 0.500
0.500 0.000 0.500
0.500 0.500 0.000
0.000 0.000 0.500
```